An optimized crystal structure of MoIrW2, computed with PBE-GGA.

Output
E_form = 4 kJ/mol of formula units
VASP energy = -45.558 eV/cell
Magnetization = 0.00 μB/f.u.

```
MoIrW2
1.0
1.755 -2.115 0.000
1.755 2.115 0.000
0.000 0.000 8.499
Mo Ir W
1 1 2
Direct
0.000 0.000 0.000
0.000 0.000 0.500
0.500 0.500 0.262
0.500 0.500 0.738
```